(1)
A geometry-optimized LiVPt2Au structure, computed with PBE.

Geometry as POSCAR:
```
LiVPt2Au
1.0
-2.131 3.993 1.054
-0.363 -1.444 4.737
4.116 1.956 0.911
Pt Au Li V
2 1 1 1
direct
0.000 0.000 0.500
0.500 0.000 0.000
0.000 0.500 0.000
0.500 0.500 0.500
0.000 0.000 0.000
```

Properties
- Calculated formation energy: 0.444 eV/atom
- Crystal system: tetragonal
- Mass density: 10.0 g/cm3

(2)
A geometry-optimized LiVPtAu structure, computed with PBE.

Geometry as POSCAR:
```
LiVPtAu
1.0
-3.761 0.092 -2.264
-0.066 -1.279 -4.200
-1.980 -3.755 -1.121
Au Pt V Li
1 1 1 1
direct
0.250 0.250 0.250
0.750 0.750 0.750
0.000 0.000 0.000
0.500 0.500 0.500
```

Properties
- Calculated formation energy: -0.293 eV/atom
- Crystal system: cubic
- Mass density: 12.5 g/cm3

Total moment
In order: 0.89, 1.58
Unit: μB per cell